This record from the Alexandria database describes a geometry-optimized La2Tb2Pr4Er structure. The functional is PBE.

The magnetic moment is 0.00 Bohr magnetons per cell. For the energy of formation from the pure elements, the calculation gives 0.01 eV/atom.

Cell lengths 9.7551, 9.7551, 9.8206 Å; angles 115.11, 115.11, 21.90 degrees
Atoms (fractional coordinates):
La 0.1651 0.1651 0.4980
La 0.8349 0.8349 0.5020
Tb 0.3518 0.3518 0.8327
Tb 0.6482 0.6482 0.1673
Pr 0.0181 0.0181 0.8338
Pr 0.3144 0.3144 0.1671
Pr 0.6856 0.6856 0.8329
Pr 0.9819 0.9819 0.1662
Er 0.5000 0.5000 0.5000

=====

This record from the Alexandria database describes a geometry-optimized Sc3CdC structure. The functional is PBE.

The calculation puts the distance to the lowest polymorph of the same formula at 0.669 eV per formula unit. The magnetic moment is 0.00 Bohr magnetons per cell. For the energy of formation from the pure elements, the calculation gives -0.33 eV/atom.

Cell lengths 8.3395, 5.9296, 8.6300 Å; angles 90.00, 114.22, 90.00 degrees
Atoms (fractional coordinates):
Sc 0.0627 0.0747 0.3566
Sc 0.0627 0.4253 0.8566
Sc 0.1871 0.5743 0.5491
Sc 0.1871 0.9257 0.0491
Sc 0.3434 0.1199 0.7499
Sc 0.3434 0.3801 0.2499
Sc 0.6566 0.6199 0.7501
Sc 0.6566 0.8801 0.2501
Sc 0.8129 0.0743 0.9509
Sc 0.8129 0.4257 0.4509
Sc 0.9373 0.5747 0.1434
Sc 0.9373 0.9253 0.6434
Cd 0.4067 0.6818 0.9144
Cd 0.4067 0.8182 0.4144
Cd 0.5933 0.1818 0.5856
Cd 0.5933 0.3182 0.0856
C 0.0758 0.2489 0.1072
C 0.0758 0.2511 0.6072
C 0.9242 0.7489 0.3928
C 0.9242 0.7511 0.8928

=====

- Which of these has the lowest energy of formation from the pure elements?
  Sc3CdC

=====

- Which formula does entry 2 have?
  Sc3CdC